Entry 1
VASP calculation (PBE) on a relaxed structure of Tb2PaGa.

Lattice parameters (Å, degrees): 4.729 4.729 4.490 90.00 90.00 90.00
Fractional coordinates of all 4 atoms:
Tb (0.000, 0.500, 0.000)
Tb (0.500, 0.000, 0.000)
Pa (0.000, 0.000, 0.500)
Ga (0.500, 0.500, 0.500)

Output
Magnetization (μB/f.u.): 0.00
Space-group type: P4/mmm (123)

***

Entry 2
VASP calculation (PBE) on a relaxed structure of Tb2PaGa.

Lattice parameters (Å, degrees): 3.299 3.299 33.730 90.00 90.00 120.00
Fractional coordinates of all 12 atoms:
Tb (0.000, 0.000, 0.097)
Tb (0.000, 0.000, 0.903)
Tb (0.333, 0.667, 0.569)
Tb (0.333, 0.667, 0.764)
Tb (0.667, 0.333, 0.236)
Tb (0.667, 0.333, 0.431)
Pa (0.000, 0.000, 0.000)
Pa (0.333, 0.667, 0.667)
Pa (0.667, 0.333, 0.333)
Ga (0.000, 0.000, 0.500)
Ga (0.333, 0.667, 0.167)
Ga (0.667, 0.333, 0.833)

Output
Magnetization (μB/f.u.): 0.00
Space-group type: R-3m (166)

***

Which of them is least stable? Easy: entry 2.

***

Entry 1
VASP calculation (PBE) on a relaxed structure of TbPa2Ga6.

Lattice parameters (Å, degrees): 7.696 7.696 7.696 146.36 126.53 64.68
Fractional coordinates of all 9 atoms:
Tb (0.000, 0.000, 0.000)
Pa (0.396, 0.896, 0.500)
Pa (0.604, 0.104, 0.500)
Ga (0.008, 0.307, 0.701)
Ga (0.290, 0.500, 0.790)
Ga (0.394, 0.693, 0.701)
Ga (0.606, 0.307, 0.299)
Ga (0.710, 0.500, 0.210)
Ga (0.992, 0.693, 0.299)

Output
Magnetization (μB/f.u.): 0.00
Space-group type: Immm (71)

***

Entry 2
VASP calculation (PBE) on a relaxed structure of TbPa2Ga6.

Lattice parameters (Å, degrees): 7.789 7.789 3.472 90.00 90.00 120.00
Fractional coordinates of all 9 atoms:
Tb (0.000, 0.000, 0.000)
Pa (0.333, 0.667, 0.000)
Pa (0.667, 0.333, 0.000)
Ga (0.000, 0.333, 0.500)
Ga (0.000, 0.667, 0.500)
Ga (0.333, 0.000, 0.500)
Ga (0.333, 0.333, 0.500)
Ga (0.667, 0.000, 0.500)
Ga (0.667, 0.667, 0.500)

Output
Magnetization (μB/f.u.): 0.00
Space-group type: P6/mmm (191)

***

Which of them is least stable? Easy: entry 1.

***

Entry 1
VASP calculation (PBE) on a relaxed structure of PaGaTc2.

Lattice parameters (Å, degrees): 6.521 6.521 6.521 90.00 90.00 90.00
Fractional coordinates of all 16 atoms:
Pa (0.000, 0.000, 0.000)
Pa (0.000, 0.500, 0.500)
Pa (0.500, 0.000, 0.500)
Pa (0.500, 0.500, 0.000)
Ga (0.000, 0.000, 0.500)
Ga (0.000, 0.500, 0.000)
Ga (0.500, 0.000, 0.000)
Ga (0.500, 0.500, 0.500)
Tc (0.250, 0.250, 0.250)
Tc (0.250, 0.250, 0.750)
Tc (0.250, 0.750, 0.250)
Tc (0.250, 0.750, 0.750)
Tc (0.750, 0.250, 0.250)
Tc (0.750, 0.250, 0.750)
Tc (0.750, 0.750, 0.250)
Tc (0.750, 0.750, 0.750)

Output
Magnetization (μB/f.u.): 0.00
Space-group type: Fm-3m (225)

***

Entry 2
VASP calculation (PBE) on a relaxed structure of PaGaTc2.

Lattice parameters (Å, degrees): 4.387 4.387 3.569 90.00 90.00 90.00
Fractional coordinates of all 4 atoms:
Pa (0.000, 0.000, 0.000)
Ga (0.500, 0.500, 0.000)
Tc (0.000, 0.500, 0.500)
Tc (0.500, 0.000, 0.500)

Output
Magnetization (μB/f.u.): 0.00
Space-group type: P4/mmm (123)

***

Which of them is least stable? Easy: entry 1.

***

Entry 1
VASP calculation (PBE) on a relaxed structure of PaGa2Tc.

Lattice parameters (Å, degrees): 6.601 6.601 6.601 90.00 90.00 90.00
Fractional coordinates of all 16 atoms:
Pa (0.000, 0.000, 0.000)
Pa (0.000, 0.500, 0.500)
Pa (0.500, 0.000, 0.500)
Pa (0.500, 0.500, 0.000)
Ga (0.250, 0.250, 0.250)
Ga (0.250, 0.250, 0.750)
Ga (0.250, 0.750, 0.250)
Ga (0.250, 0.750, 0.750)
Ga (0.750, 0.250, 0.250)
Ga (0.750, 0.250, 0.750)
Ga (0.750, 0.750, 0.250)
Ga (0.750, 0.750, 0.750)
Tc (0.000, 0.000, 0.500)
Tc (0.000, 0.500, 0.000)
Tc (0.500, 0.000, 0.000)
Tc (0.500, 0.500, 0.500)

Output
Magnetization (μB/f.u.): 0.00
Space-group type: Fm-3m (225)

***

Entry 2
VASP calculation (PBE) on a relaxed structure of PaGa2Tc.

Lattice parameters (Å, degrees): 3.268 3.268 6.676 90.00 90.00 90.00
Fractional coordinates of all 4 atoms:
Pa (0.000, 0.000, 0.000)
Ga (0.500, 0.500, 0.302)
Ga (0.500, 0.500, 0.698)
Tc (0.000, 0.000, 0.500)

Output
Magnetization (μB/f.u.): 0.29
Space-group type: P4/mmm (123)

***

Entry 3
VASP calculation (PBE) on a relaxed structure of PaGa2Tc.

Lattice parameters (Å, degrees): 3.931 3.931 4.818 90.00 90.00 90.00
Fractional coordinates of all 4 atoms:
Pa (0.000, 0.000, 0.000)
Ga (0.000, 0.500, 0.500)
Ga (0.500, 0.000, 0.500)
Tc (0.500, 0.500, 0.000)

Output
Magnetization (μB/f.u.): 0.00
Space-group type: P4/mmm (123)

***

Which of them is least stable? Easy: entry 2.

***

Entry 1
VASP calculation (PBE) on a relaxed structure of PaGa2Te.

Lattice parameters (Å, degrees): 4.837 4.837 13.746 90.00 90.00 120.00
Fractional coordinates of all 12 atoms:
Pa (0.000, 0.000, 0.000)
Pa (0.333, 0.667, 0.667)
Pa (0.667, 0.333, 0.333)
Ga (0.000, 0.000, 0.235)
Ga (0.000, 0.000, 0.765)
Ga (0.333, 0.667, 0.431)
Ga (0.333, 0.667, 0.902)
Ga (0.667, 0.333, 0.098)
Ga (0.667, 0.333, 0.569)
Te (0.000, 0.000, 0.500)
Te (0.333, 0.667, 0.167)
Te (0.667, 0.333, 0.833)

Output
Magnetization (μB/f.u.): 0.50
Space-group type: R-3m (166)

***

Entry 2
VASP calculation (PBE) on a relaxed structure of PaGa2Te.

Lattice parameters (Å, degrees): 4.383 4.383 4.552 90.00 90.00 90.00
Fractional coordinates of all 4 atoms:
Pa (0.000, 0.000, 0.000)
Ga (0.000, 0.500, 0.500)
Ga (0.500, 0.000, 0.500)
Te (0.500, 0.500, 0.000)

Output
Magnetization (μB/f.u.): 0.00
Space-group type: P4/mmm (123)

***

Which of them is least stable? Easy: entry 1.

***

Entry 1
VASP calculation (PBE) on a relaxed structure of Pa2GaTe.

Lattice parameters (Å, degrees): 3.518 3.518 7.758 90.00 90.00 90.00
Fractional coordinates of all 4 atoms:
Pa (0.000, 0.000, 0.241)
Pa (0.000, 0.000, 0.759)
Ga (0.500, 0.500, 0.000)
Te (0.500, 0.500, 0.500)

Output
Magnetization (μB/f.u.): 0.24
Space-group type: P4/mmm (123)

***

Entry 2
VASP calculation (PBE) on a relaxed structure of Pa2GaTe.

Lattice parameters (Å, degrees): 4.280 4.280 20.560 90.00 90.00 120.00
Fractional coordinates of all 12 atoms:
Pa (0.000, 0.000, 0.241)
Pa (0.000, 0.000, 0.759)
Pa (0.333, 0.667, 0.426)
Pa (0.333, 0.667, 0.908)
Pa (0.667, 0.333, 0.092)
Pa (0.667, 0.333, 0.574)
Ga (0.000, 0.000, 0.500)
Ga (0.333, 0.667, 0.167)
Ga (0.667, 0.333, 0.833)
Te (0.000, 0.000, 0.000)
Te (0.333, 0.667, 0.667)
Te (0.667, 0.333, 0.333)

Output
Magnetization (μB/f.u.): 0.00
Space-group type: R-3m (166)

***

Which of them is least stable? Easy: entry 2.

***

Entry 1
VASP calculation (PBE) on a relaxed structure of ThPaGa4.

Lattice parameters (Å, degrees): 4.209 4.209 14.689 90.00 90.00 90.00
Fractional coordinates of all 12 atoms:
Th (0.000, 0.000, 0.000)
Th (0.500, 0.500, 0.500)
Pa (0.000, 0.500, 0.750)
Pa (0.500, 0.000, 0.250)
Ga (0.000, 0.000, 0.415)
Ga (0.000, 0.000, 0.585)
Ga (0.000, 0.500, 0.168)
Ga (0.000, 0.500, 0.332)
Ga (0.500, 0.000, 0.668)
Ga (0.500, 0.000, 0.832)
Ga (0.500, 0.500, 0.085)
Ga (0.500, 0.500, 0.915)

Output
Magnetization (μB/f.u.): 0.80
Space-group type: I-4m2 (119)

***

Entry 2
VASP calculation (PBE) on a relaxed structure of ThPaGa4.

Lattice parameters (Å, degrees): 5.587 5.587 5.587 60.00 60.00 60.00
Fractional coordinates of all 6 atoms:
Th (0.000, 0.000, 0.000)
Pa (0.250, 0.250, 0.250)
Ga (0.126, 0.625, 0.625)
Ga (0.625, 0.126, 0.625)
Ga (0.625, 0.625, 0.126)
Ga (0.625, 0.625, 0.625)

Output
Magnetization (μB/f.u.): 0.25
Space-group type: F-43m (216)

***

Which of them is least stable? Easy: entry 2.

***

Entry 1
VASP calculation (PBE) on a relaxed structure of PaTiGa2.

Lattice parameters (Å, degrees): 7.725 4.001 10.387 90.00 90.00 90.00
Fractional coordinates of all 16 atoms:
Pa (0.155, 0.250, 0.151)
Pa (0.345, 0.750, 0.651)
Pa (0.655, 0.250, 0.349)
Pa (0.845, 0.750, 0.849)
Ti (0.020, 0.750, 0.403)
Ti (0.480, 0.250, 0.903)
Ti (0.520, 0.750, 0.097)
Ti (0.980, 0.250, 0.597)
Ga (0.141, 0.250, 0.820)
Ga (0.240, 0.750, 0.950)
Ga (0.260, 0.250, 0.450)
Ga (0.359, 0.750, 0.320)
Ga (0.641, 0.250, 0.680)
Ga (0.740, 0.750, 0.550)
Ga (0.760, 0.250, 0.050)
Ga (0.859, 0.750, 0.180)

Output
Magnetization (μB/f.u.): 0.61
Space-group type: Pnma (62)

***

Entry 2
VASP calculation (PBE) on a relaxed structure of PaTiGa2.

Lattice parameters (Å, degrees): 4.226 4.226 4.343 90.00 90.00 90.00
Fractional coordinates of all 4 atoms:
Pa (0.000, 0.000, 0.000)
Ti (0.500, 0.500, 0.000)
Ga (0.000, 0.500, 0.500)
Ga (0.500, 0.000, 0.500)

Output
Magnetization (μB/f.u.): 0.00
Space-group type: P4/mmm (123)

***

Which of them is least stable? Easy: entry 2.

***

Entry 1
VASP calculation (PBE) on a relaxed structure of Pa2TiGa.

Lattice parameters (Å, degrees): 4.270 4.270 4.577 90.00 90.00 90.00
Fractional coordinates of all 4 atoms:
Pa (0.000, 0.500, 0.000)
Pa (0.500, 0.000, 0.000)
Ti (0.000, 0.000, 0.500)
Ga (0.500, 0.500, 0.500)

Output
Magnetization (μB/f.u.): 0.00
Space-group type: P4/mmm (123)

***

Entry 2
VASP calculation (PBE) on a relaxed structure of Pa2TiGa.

Lattice parameters (Å, degrees): 7.058 7.058 7.058 90.00 90.00 90.00
Fractional coordinates of all 16 atoms:
Pa (0.250, 0.250, 0.250)
Pa (0.250, 0.250, 0.750)
Pa (0.250, 0.750, 0.250)
Pa (0.250, 0.750, 0.750)
Pa (0.750, 0.250, 0.250)
Pa (0.750, 0.250, 0.750)
Pa (0.750, 0.750, 0.250)
Pa (0.750, 0.750, 0.750)
Ti (0.000, 0.000, 0.000)
Ti (0.000, 0.500, 0.500)
Ti (0.500, 0.000, 0.500)
Ti (0.500, 0.500, 0.000)
Ga (0.000, 0.000, 0.500)
Ga (0.000, 0.500, 0.000)
Ga (0.500, 0.000, 0.000)
Ga (0.500, 0.500, 0.500)

Output
Magnetization (μB/f.u.): 0.01
Space-group type: Fm-3m (225)

***

Entry 3
VASP calculation (PBE) on a relaxed structure of Pa2TiGa.

Lattice parameters (Å, degrees): 3.770 3.770 6.300 90.00 90.00 90.00
Fractional coordinates of all 4 atoms:
Pa (0.000, 0.000, 0.226)
Pa (0.000, 0.000, 0.774)
Ti (0.500, 0.500, 0.500)
Ga (0.500, 0.500, 0.000)

Output
Magnetization (μB/f.u.): 1.86
Space-group type: P4/mmm (123)

***

Which of them is least stable? Easy: entry 2.

***

Entry 1
VASP calculation (PBE) on a relaxed structure of Tm2PaGa6.

Lattice parameters (Å, degrees): 7.775 7.775 3.409 90.00 90.00 120.00
Fractional coordinates of all 9 atoms:
Tm (0.333, 0.667, 0.000)
Tm (0.667, 0.333, 0.000)
Pa (0.000, 0.000, 0.000)
Ga (0.000, 0.335, 0.500)
Ga (0.000, 0.665, 0.500)
Ga (0.335, 0.000, 0.500)
Ga (0.335, 0.335, 0.500)
Ga (0.665, 0.000, 0.500)
Ga (0.665, 0.665, 0.500)

Output
Magnetization (μB/f.u.): 0.00
Space-group type: P6/mmm (191)

***

Entry 2
VASP calculation (PBE) on a relaxed structure of Tm2PaGa6.

Lattice parameters (Å, degrees): 7.802 7.802 7.802 148.85 126.95 62.81
Fractional coordinates of all 9 atoms:
Tm (0.125, 0.125, 0.000)
Tm (0.875, 0.875, 0.000)
Pa (0.500, 0.000, 0.500)
Ga (0.126, 0.317, 0.809)
Ga (0.189, 0.500, 0.689)
Ga (0.492, 0.683, 0.809)
Ga (0.508, 0.317, 0.191)
Ga (0.811, 0.500, 0.311)
Ga (0.874, 0.683, 0.191)

Output
Magnetization (μB/f.u.): 0.69
Space-group type: Immm (71)

***

Which of them is least stable? Easy: entry 2.

***

Entry 1
VASP calculation (PBE) on a relaxed structure of TmPaGa4.

Lattice parameters (Å, degrees): 5.501 5.501 5.501 60.00 60.00 60.00
Fractional coordinates of all 6 atoms:
Tm (0.000, 0.000, 0.000)
Pa (0.750, 0.750, 0.750)
Ga (0.375, 0.375, 0.375)
Ga (0.375, 0.375, 0.874)
Ga (0.375, 0.874, 0.375)
Ga (0.874, 0.375, 0.375)

Output
Magnetization (μB/f.u.): 0.00
Space-group type: F-43m (216)

***

Entry 2
VASP calculation (PBE) on a relaxed structure of TmPaGa4.

Lattice parameters (Å, degrees): 4.127 4.127 14.540 90.00 90.00 90.00
Fractional coordinates of all 12 atoms:
Tm (0.000, 0.000, 0.000)
Tm (0.500, 0.500, 0.500)
Pa (0.000, 0.500, 0.250)
Pa (0.500, 0.000, 0.750)
Ga (0.000, 0.000, 0.417)
Ga (0.000, 0.000, 0.583)
Ga (0.000, 0.500, 0.667)
Ga (0.000, 0.500, 0.833)
Ga (0.500, 0.000, 0.167)
Ga (0.500, 0.000, 0.333)
Ga (0.500, 0.500, 0.083)
Ga (0.500, 0.500, 0.917)

Output
Magnetization (μB/f.u.): 0.00
Space-group type: I-4m2 (119)

***

Which of them is least stable? Easy: entry 1.

***

Entry 1
VASP calculation (PBE) on a relaxed structure of UPaGa4.

Lattice parameters (Å, degrees): 5.476 5.476 5.476 60.00 60.00 60.00
Fractional coordinates of all 6 atoms:
U (0.000, 0.000, 0.000)
Pa (0.250, 0.250, 0.250)
Ga (0.125, 0.625, 0.625)
Ga (0.625, 0.125, 0.625)
Ga (0.625, 0.625, 0.125)
Ga (0.625, 0.625, 0.625)

Output
Magnetization (μB/f.u.): 4.59
Space-group type: F-43m (216)

***

Entry 2
VASP calculation (PBE) on a relaxed structure of UPaGa4.

Lattice parameters (Å, degrees): 8.602 4.294 6.860 90.00 90.00 90.00
Fractional coordinates of all 12 atoms:
U (0.250, 0.000, 0.208)
U (0.750, 0.000, 0.792)
Pa (0.250, 0.000, 0.818)
Pa (0.750, 0.000, 0.182)
Ga (0.000, 0.000, 0.500)
Ga (0.007, 0.500, 0.193)
Ga (0.250, 0.500, 0.507)
Ga (0.493, 0.500, 0.193)
Ga (0.500, 0.000, 0.500)
Ga (0.507, 0.500, 0.807)
Ga (0.750, 0.500, 0.493)
Ga (0.993, 0.500, 0.807)

Output
Magnetization (μB/f.u.): 3.30
Space-group type: Pmma (51)

***

Entry 3
VASP calculation (PBE) on a relaxed structure of UPaGa4.

Lattice parameters (Å, degrees): 3.094 4.701 8.094 90.00 90.00 90.00
Fractional coordinates of all 6 atoms:
U (0.000, 0.000, 0.000)
Pa (0.000, 0.500, 0.500)
Ga (0.500, 0.000, 0.333)
Ga (0.500, 0.000, 0.667)
Ga (0.500, 0.500, 0.166)
Ga (0.500, 0.500, 0.834)

Output
Magnetization (μB/f.u.): 3.10
Space-group type: Pmmm (47)

***

Which of them is least stable? Easy: entry 2.